The following is a DFT calculation (GGA+U) of a relaxed structure of RbCrIn2F8.

Volume, Å³/f.u.: 209.4
Final energy, eV for the cell shown: -58.064

Lattice parameters (Å, degrees): 5.386 7.216 5.411 90.00 95.31 90.00
Space group P2/m (No. 10)
Symmetry-distinct sites (fractional):
Rb 0.000 0.000 0.000 x1
Cr 0.000 0.500 0.000 x1
In 0.500 0.261 0.500 x2
F 0.198 0.304 0.206 x4
F 0.324 0.500 0.682 x2
F 0.348 0.000 0.662 x2